1.
5
Lattice="3.445 0.000 0.000 0.000 3.445 0.000 0.000 0.000 3.445" Properties=species:S:1:pos:R:3 comment="GaH3F | Alexandria | PBE | optimized geometry" dos_at_fermi_per_ev_fu=2.0 space_group="No. 221" de_polymorph_mev_per_atom=0 e_tot_ev_per_cell=-14.414 pbc="T T T"
Ga 0.000 0.000 0.000
H 0.000 0.000 1.723
H 0.000 1.723 0.000
H 1.723 0.000 0.000
F 1.723 1.723 1.723

=====

2.
6
Lattice="3.797 0.000 0.000 0.000 3.797 0.000 0.000 0.000 11.413" Properties=species:S:1:pos:R:3 comment="AcPr2Au3 | Alexandria | PBE | optimized geometry" dos_at_fermi_per_ev_fu=4.0 space_group="No. 123" de_polymorph_mev_per_atom=0 ef_ev_per_atom=-0.7512 e_tot_ev_per_cell=-28.007 pbc="T T T"
Ac 0.000 0.000 0.000
Pr 0.000 0.000 3.851
Pr 0.000 0.000 7.562
Au 1.898 1.898 2.066
Au 1.898 1.898 5.706
Au 1.898 1.898 9.347

=====

Total moment? In order: 0.00; 0.00 μB/f.u..